Entry from Alexandria via LeMat-Bulk: a relaxed Eu4NCl2 crystal (PBE).

Computed properties:
The value obtained for the density of states at the Fermi level is 3.714 states/eV/atom. Its raw total energy is -60.90 eV/cell.

a b c (Å): 5.2143 5.2143 7.9670
angles (deg): 70.90 70.90 90.00
Each line ends with the local moment (μB).
Fractional positions:
Eu: 0.5000 0.0000 0.0000  -6.83
Eu: 0.1838 0.1838 0.6324  6.98
Eu: 0.0000 0.5000 0.0000  -6.83
Eu: 0.8162 0.8162 0.3676  6.98
Cl: 0.6088 0.6088 0.7824  0.03
Cl: 0.3912 0.3912 0.2176  0.03
N: 0.0000 0.0000 0.0000  0.07



Entry from Alexandria via LeMat-Bulk: a relaxed NaEuCl2 crystal (PBE).

Computed properties:
The value obtained for the density of states at the Fermi level is 0.212 states/eV/atom. Its raw total energy is -21.95 eV/cell.

a b c (Å): 4.2892 4.2892 10.0639
angles (deg): 77.70 77.70 60.00
Each line ends with the local moment (μB).
Fractional positions:
Eu: 0.5000 0.5000 0.5000  6.89
Cl: 0.8839 0.8839 0.3482  -0.02
Cl: 0.1161 0.1161 0.6518  -0.02
Na: 0.0000 0.0000 0.0000  0.00



Entry from Alexandria via LeMat-Bulk: a relaxed Na3Eu5Cl12 crystal (PBE).

Computed properties:
The value obtained for the density of states at the Fermi level is 0.072 states/eV/atom. Its raw total energy is -469.12 eV/cell.

a b c (Å): 15.2668 15.2668 15.2668
angles (deg): 109.47 109.47 109.47
Each line ends with the local moment (μB).
Fractional positions:
Cl: 0.9602 0.5946 0.1709  -0.02
Cl: 0.8291 0.9054 0.0398  -0.02
Cl: 0.9054 0.8291 0.5398  -0.02
Cl: 0.7107 0.1344 0.0398  -0.02
Cl: 0.2107 0.6709 0.0763  -0.02
Cl: 0.5763 0.7107 0.6709  -0.02
Cl: 0.4054 0.0398 0.3291  -0.02
Cl: 0.0946 0.9237 0.1344  -0.02
Cl: 0.2893 0.4237 0.8291  -0.02
Cl: 0.3291 0.7893 0.4237  -0.02
Cl: 0.0946 0.1709 0.4602  -0.02
Cl: 0.1709 0.0763 0.7107  -0.02
Cl: 0.7107 0.5763 0.1709  -0.02
Cl: 0.9237 0.8291 0.7893  -0.02
Cl: 0.2107 0.5398 0.6344  -0.02
Cl: 0.3656 0.4054 0.0763  -0.02
Cl: 0.6344 0.5946 0.9237  -0.02
Cl: 0.1344 0.7107 0.5398  -0.02
Cl: 0.9237 0.0946 0.6344  -0.02
Cl: 0.3291 0.5398 0.4054  -0.02
Cl: 0.8656 0.5763 0.9054  -0.02
Cl: 0.5946 0.9602 0.6709  -0.02
Cl: 0.0763 0.1709 0.2107  -0.02
Cl: 0.4237 0.2893 0.3291  -0.02
Cl: 0.4602 0.6709 0.0946  -0.02
Cl: 0.7893 0.4602 0.3656  -0.02
Cl: 0.5763 0.8656 0.4054  -0.02
Cl: 0.0398 0.4054 0.8291  -0.02
Cl: 0.7893 0.3291 0.9237  -0.02
Cl: 0.8656 0.2893 0.4602  -0.02
Cl: 0.3656 0.9602 0.7893  -0.02
Cl: 0.8291 0.9237 0.2893  -0.02
Cl: 0.0398 0.6344 0.7107  -0.02
Cl: 0.4237 0.1344 0.5946  -0.02
Cl: 0.6344 0.0398 0.2107  -0.02
Cl: 0.9054 0.0763 0.8656  -0.02
Cl: 0.4602 0.7893 0.8656  -0.02
Cl: 0.5946 0.6344 0.4237  -0.02
Cl: 0.6709 0.4602 0.5946  -0.02
Cl: 0.0763 0.9054 0.3656  -0.02
Cl: 0.1709 0.0946 0.9602  -0.02
Cl: 0.1344 0.4237 0.0946  -0.02
Cl: 0.4054 0.3656 0.5763  -0.02
Cl: 0.2893 0.8656 0.9602  -0.02
Cl: 0.9602 0.3656 0.2893  -0.02
Cl: 0.5398 0.2107 0.1344  -0.02
Cl: 0.5398 0.3291 0.9054  -0.02
Cl: 0.6709 0.2107 0.5763  -0.02
Eu: 0.2500 0.8750 0.1250  6.88
Eu: 0.5000 0.5000 0.0000  6.88
Eu: 0.7500 0.1250 0.8750  6.88
Eu: 0.0000 0.5000 0.5000  6.88
Eu: 0.3750 0.2500 0.1250  6.88
Eu: 0.2500 0.3750 0.6250  6.88
Eu: 0.1250 0.7500 0.3750  6.88
Eu: 0.6250 0.7500 0.8750  6.88
Eu: 0.8750 0.6250 0.7500  6.88
Eu: 0.0000 0.5000 0.0000  6.88
Eu: 0.5000 0.5000 0.5000  6.88
Eu: 0.7500 0.6250 0.3750  6.88
Eu: 0.6250 0.8750 0.2500  6.88
Eu: 0.0000 0.0000 0.0000  6.88
Eu: 0.5000 0.0000 0.0000  6.88
Eu: 0.5000 0.0000 0.5000  6.88
Eu: 0.8750 0.2500 0.6250  6.88
Eu: 0.0000 0.0000 0.5000  6.88
Eu: 0.3750 0.1250 0.7500  6.88
Eu: 0.1250 0.3750 0.2500  6.88
Na: 0.1250 0.8750 0.7500  0.00
Na: 0.7500 0.3750 0.1250  0.00
Na: 0.8750 0.7500 0.1250  0.00
Na: 0.7500 0.8750 0.6250  0.00
Na: 0.3750 0.6250 0.2500  0.00
Na: 0.1250 0.2500 0.8750  0.00
Na: 0.8750 0.1250 0.2500  0.00
Na: 0.2500 0.6250 0.8750  0.00
Na: 0.6250 0.2500 0.3750  0.00
Na: 0.6250 0.3750 0.7500  0.00
Na: 0.2500 0.1250 0.3750  0.00
Na: 0.3750 0.7500 0.6250  0.00



- Which of these has the highest raw total energy?
  NaEuCl2



- The highest raw total energy belongs to which entry?
  NaEuCl2



- What is the formula in the second record?
  NaEuCl2



- Look up the raw total energy of the second one.
  -21.95 eV/cell